First-principles (PBE-GGA) data for a relaxed structure of LiZrPd2, as listed in the Alexandria database.

The structure in POSCAR format:
```
LiZrPd2
1.0
3.230 0.000 0.000
0.000 3.230 0.000
0.000 0.000 6.300
Pd Li Zr
2 1 1
Cartesian
0.000 0.000 4.856 Pd
0.000 0.000 1.443 Pd
1.615 1.615 0.000 Li
1.615 1.615 3.150 Zr
```

Summary:
SG: P4/mmm
Formation enthalpy at 0 K: -599 meV/atom
Total DFT energy (no corrections): -23.25 eV/cell